# 1
Compound: TbPrRh
Source: Alexandria
Functional: GGA-PBE
Structure: optimized geometry

DFT total energy: -6.0507 eV/atom
Space-group type: P3m1
Calculated volume: 92.1 Å³/cell
Total magnetization: 0.00 μB per formula unit

a b c (Å): 6.322 4.102 4.102
angles (deg): 120.00 90.00 90.00
Atoms (fractional coordinates):
Tb 0.766 0.667 0.333
Rh 0.992 0.000 0.000
Pr 0.243 0.333 0.667

# 2
Compound: Tb2PrRh
Source: Alexandria
Functional: GGA-PBE
Structure: optimized geometry

DFT total energy: -5.7061 eV/atom
Space-group type: R3m
Calculated volume: 121.7 Å³/cell
Total magnetization: 0.00 μB per formula unit

a b c (Å): 3.908 3.908 9.469
angles (deg): 78.09 78.09 60.00
Atoms (fractional coordinates):
Pr 0.501 0.501 0.496
Tb 0.276 0.276 0.173
Rh 0.666 0.666 0.002
Tb 0.057 0.057 0.829

# 3
Compound: TbPr3Rh
Source: Alexandria
Functional: GGA-PBE
Structure: optimized geometry

DFT total energy: -5.3516 eV/atom
Space-group type: Pm-3m
Calculated volume: 176.4 Å³/cell
Total magnetization: 0.31 μB per formula unit

a b c (Å): 5.608 5.608 5.608
angles (deg): 90.00 90.00 90.00
Atoms (fractional coordinates):
Pr 0.000 0.500 0.000
Tb 0.500 0.500 0.500
Rh 0.000 0.000 0.000
Pr 0.000 0.000 0.500
Pr 0.500 0.000 0.000

# 4
Compound: TbPrRh
Source: Alexandria
Functional: GGA-PBE
Structure: optimized geometry

DFT total energy: -6.0477 eV/atom
Space-group type: I4mm
Calculated volume: 80.7 Å³/cell
Total magnetization: 0.00 μB per formula unit

a b c (Å): 3.526 3.526 6.951
angles (deg): 104.69 104.69 90.00
Atoms (fractional coordinates):
Rh 0.674 0.674 0.349
Tb 0.292 0.292 0.584
Pr 0.033 0.033 0.067

# 5
Compound: TbPr3Rh8
Source: Alexandria
Functional: GGA-PBE
Structure: optimized geometry

DFT total energy: -7.1398 eV/atom
Space-group type: R3m
Calculated volume: 224.7 Å³/cell
Total magnetization: 0.00 μB per formula unit

a b c (Å): 5.414 5.414 9.386
angles (deg): 73.24 73.24 60.00
Atoms (fractional coordinates):
Pr 0.500 0.500 0.499
Rh 0.687 0.687 0.938
Rh 0.437 0.437 0.190
Pr 0.375 0.375 0.875
Rh 0.938 0.938 0.685
Rh 0.936 0.437 0.190
Rh 0.437 0.936 0.190
Rh 0.439 0.938 0.685
Tb 0.875 0.875 0.376
Rh 0.188 0.188 0.437
Pr 0.000 0.000 0.001
Rh 0.938 0.439 0.685

# 6
Compound: Tb2PrRh
Source: Alexandria
Functional: GGA-PBE
Structure: optimized geometry

DFT total energy: -5.7987 eV/atom
Space-group type: Cmcm
Calculated volume: 224.4 Å³/cell
Total magnetization: 0.00 μB per formula unit

a b c (Å): 3.833 6.419 9.557
angles (deg): 90.00 90.00 107.37
Atoms (fractional coordinates):
Pr 0.426 0.852 0.250
Rh 0.739 0.478 0.250
Tb 0.141 0.281 0.432
Rh 0.261 0.522 0.750
Tb 0.859 0.719 0.932
Tb 0.859 0.719 0.568
Tb 0.141 0.281 0.068
Pr 0.574 0.148 0.750

# 7
Compound: Tb3PrRh
Source: Alexandria
Functional: GGA-PBE
Structure: optimized geometry

DFT total energy: -5.4468 eV/atom
Space-group type: Pm-3m
Calculated volume: 162.5 Å³/cell
Total magnetization: 1.06 μB per formula unit

a b c (Å): 5.457 5.457 5.457
angles (deg): 90.00 90.00 90.00
Atoms (fractional coordinates):
Rh 0.000 0.000 0.000
Tb 0.000 0.500 0.000
Pr 0.500 0.500 0.500
Tb 0.000 0.000 0.500
Tb 0.500 0.000 0.000

# 8
Compound: Tb3PrRh
Source: Alexandria
Functional: GGA-PBE
Structure: optimized geometry

DFT total energy: -5.4876 eV/atom
Space-group type: Pmn2_1
Calculated volume: 313.6 Å³/cell
Total magnetization: 0.00 μB per formula unit

a b c (Å): 6.245 6.574 7.640
angles (deg): 90.00 90.00 90.00
Atoms (fractional coordinates):
Tb 0.926 0.496 0.949
Tb 0.916 0.023 0.701
Tb 0.426 0.856 0.953
Rh 0.174 0.684 0.701
Pr 0.935 0.031 0.201
Tb 0.426 0.856 0.449
Pr 0.435 0.322 0.701
Rh 0.674 0.669 0.201
Tb 0.416 0.330 0.201
Tb 0.926 0.496 0.453

# 9
Compound: TbPr4Rh4
Source: Alexandria
Functional: GGA-PBE
Structure: optimized geometry

DFT total energy: -6.4622 eV/atom
Space-group type: P4_2/n
Calculated volume: 469.2 Å³/cell
Total magnetization: 0.00 μB per formula unit

a b c (Å): 5.836 8.966 8.966
angles (deg): 90.00 90.00 90.00
Atoms (fractional coordinates):
Rh 0.397 0.620 0.771
Rh 0.603 0.771 0.380
Pr 0.095 0.192 0.582
Tb 0.500 0.500 0.500
Tb 0.000 0.000 0.000
Rh 0.103 0.120 0.271
Rh 0.897 0.729 0.120
Pr 0.905 0.582 0.808
Rh 0.897 0.271 0.880
Pr 0.595 0.918 0.692
Pr 0.095 0.808 0.418
Rh 0.603 0.229 0.620
Pr 0.595 0.082 0.308
Pr 0.905 0.418 0.192
Rh 0.103 0.880 0.729
Rh 0.397 0.380 0.229
Pr 0.405 0.692 0.082
Pr 0.405 0.308 0.918

# 10
Compound: Tb4PrRh4
Source: Alexandria
Functional: GGA-PBE
Structure: optimized geometry

DFT total energy: -6.4896 eV/atom
Space-group type: P4_2/n
Calculated volume: 451.5 Å³/cell
Total magnetization: 0.00 μB per formula unit

a b c (Å): 5.642 8.946 8.946
angles (deg): 90.00 90.00 90.00
Atoms (fractional coordinates):
Tb 0.417 0.676 0.093
Pr 0.500 0.500 0.500
Rh 0.914 0.713 0.129
Rh 0.414 0.629 0.787
Tb 0.417 0.324 0.907
Rh 0.086 0.871 0.713
Pr 0.000 0.000 0.000
Rh 0.414 0.371 0.213
Rh 0.914 0.287 0.871
Rh 0.586 0.213 0.629
Tb 0.083 0.824 0.407
Tb 0.083 0.176 0.593
Tb 0.583 0.093 0.324
Rh 0.086 0.129 0.287
Tb 0.917 0.593 0.824
Tb 0.917 0.407 0.176
Rh 0.586 0.787 0.371
Tb 0.583 0.907 0.676

# 11
Compound: TbPrRh
Source: Alexandria
Functional: GGA-PBE
Structure: optimized geometry

DFT total energy: -6.0672 eV/atom
Space-group type: F-43m
Calculated volume: 83.8 Å³/cell
Total magnetization: 0.00 μB per formula unit

a b c (Å): 4.912 4.912 4.912
angles (deg): 60.00 60.00 60.00
Atoms (fractional coordinates):
Pr 0.000 0.000 0.000
Rh 0.250 0.250 0.250
Tb 0.500 0.500 0.500

# 12
Compound: Tb3PrRh2
Source: Alexandria
Functional: GGA-PBE
Structure: optimized geometry

DFT total energy: -6.1165 eV/atom
Space-group type: C2/m
Calculated volume: 341.4 Å³/cell
Total magnetization: 0.00 μB per formula unit

a b c (Å): 4.277 8.457 10.500
angles (deg): 69.53 78.25 75.35
Atoms (fractional coordinates):
Rh 0.637 0.072 0.653
Pr 0.556 0.600 0.289
Tb 0.171 0.189 0.470
Rh 0.118 0.685 0.078
Tb 0.075 0.018 0.832
Rh 0.882 0.315 0.922
Tb 0.287 0.332 0.094
Tb 0.925 0.982 0.168
Rh 0.363 0.928 0.347
Tb 0.713 0.668 0.906
Pr 0.444 0.400 0.711
Tb 0.829 0.811 0.530